# CsCd3Pt

CsCd3Pt after structural relaxation (PBE, Alexandria via LeMat-Bulk).

Unit cell a=9.9245 b=9.9245 c=9.9245 alpha=143.58 beta=143.58 gamma=52.45
With the nearest neighbours (Å) after each atom.
Fractional coordinates of all 10 atoms:
Cs 0.1643 0.1643 0.0000  2 Pt 3.46, 4 Cd 3.57
Cs 0.8357 0.8357 0.0000  2 Pt 3.46, 4 Cd 3.57
Cd 0.0171 0.5171 0.5000  2 Cd 3.08, 2 Pt 3.12
Cd 0.1368 0.3712 0.7656  2 Pt 2.72, 1 Cd 2.91
Cd 0.4829 0.9829 0.5000  2 Cd 3.08, 2 Pt 3.12
Cd 0.6056 0.3712 0.2344  2 Pt 2.72, 1 Cd 2.91
Cd 0.6288 0.3944 0.7656  2 Pt 2.72, 1 Cd 2.91
Cd 0.6288 0.8632 0.2344  2 Pt 2.72, 1 Cd 2.91
Pt 0.5000 0.5000 0.0000  4 Cd 2.72
Pt 0.7500 0.2500 0.5000  4 Cd 2.72

Energy of formation   -0.06 eV/atom
Relative energy among the computed polymorphs   188 meV/atom
Symmetry   I-4m2
N(E_F)   0.610 states/eV per cell
VASP energy   -1.988 eV/atom

***

# CsCd3Pt

CsCd3Pt after structural relaxation (PBE, Alexandria via LeMat-Bulk).

Unit cell a=14.6254 b=14.6254 c=14.6254 alpha=159.07 beta=159.07 gamma=29.76
With the nearest neighbours (Å) after each atom.
Fractional coordinates of all 10 atoms:
Cs 0.0000 0.0000 0.0000  4 Cd 3.77
Cs 0.7500 0.2500 0.5000  4 Cd 3.78
Cd 0.3713 0.1250 0.2464  2 Cd 2.62-2.69
Cd 0.3916 0.3916 0.0000  2 Pt 2.67
Cd 0.6084 0.6084 0.0000  2 Pt 2.67
Cd 0.8750 0.1214 0.2464  2 Cd 2.62-2.69
Cd 0.8750 0.6287 0.7536  2 Cd 2.62-2.69
Cd 0.8786 0.1250 0.7536  2 Cd 2.62-2.69
Pt 0.1191 0.6191 0.5000  6 Cd 2.67-2.97
Pt 0.3809 0.8809 0.5000  6 Cd 2.67-2.97

Energy of formation   0.01 eV/atom
Relative energy among the computed polymorphs   254 meV/atom
Symmetry   I-4m2
N(E_F)   4.392 states/eV per cell
VASP energy   -1.922 eV/atom

***

# CsCd3Pt

CsCd3Pt after structural relaxation (PBE, Alexandria via LeMat-Bulk).

Unit cell a=7.4181 b=7.4181 c=7.4181 alpha=62.13 beta=62.13 gamma=62.13
With the nearest neighbours (Å) after each atom.
Fractional coordinates of all 10 atoms:
Cs 0.0996 0.0996 0.0996  1 Cs 3.56, 1 Pt 3.57, 9 Cd 3.70-3.86
Cs 0.9004 0.9004 0.9004  1 Cs 3.56, 1 Pt 3.57, 9 Cd 3.70-3.86
Cd 0.1463 0.5567 0.5567  2 Pt 2.77-2.82
Cd 0.4433 0.4433 0.8537  2 Pt 2.77-2.82
Cd 0.4433 0.8537 0.4433  2 Pt 2.77-2.82
Cd 0.5567 0.1463 0.5567  2 Pt 2.77-2.82
Cd 0.5567 0.5567 0.1463  2 Pt 2.77-2.82
Cd 0.8537 0.4433 0.4433  2 Pt 2.77-2.82
Pt 0.2993 0.2993 0.2993  6 Cd 2.77-2.82
Pt 0.7007 0.7007 0.7007  6 Cd 2.77-2.82

Energy of formation   -0.12 eV/atom
Relative energy among the computed polymorphs   124 meV/atom
Symmetry   R-3m
N(E_F)   2.738 states/eV per cell
VASP energy   -2.052 eV/atom